Compound: Zr2ScNi
Source: the Alexandria database
Functional: PBE-GGA
Structure: optimized geometry

Geometry as extended XYZ:
```
4
Lattice="3.229 0.000 0.000 0.000 3.229 0.000 0.000 0.000 7.634" Properties=species:S:1:pos:R:3 pbc="T T T"
Zr 0.000 0.000 0.000
Zr 1.615 1.615 2.157
Sc 1.615 1.615 5.329
Ni 0.000 0.000 3.725
```

Results
E above lowest polymorph   3.49 kJ/mol of atoms
Space group   No. 99
Fermi-level density of states   5.6 states/eV per cell
ΔH_f (0 K)   -0.82 eV per formula unit
Calculated total energy   -30.03 eV per cell